[1]
{
  "formula": "AcEuCd2",
  "functional": "PBE-GGA",
  "state": "optimized geometry",
  "sg": "No. 123",
  "formation_enthalpy_0k_mev_per_atom": -338,
  "final_energy_ev_per_cell": -17.56,
  "cell": [[-2.175, 2.786, -1.921], [-4.774, -2.662, 1.545], [-0.202, 3.116, 4.745]],
  "species": ["Eu", "Cd", "Cd", "Ac"],
  "frac_coords": [[0.500, 0.000, 0.000], [0.000, 0.500, 0.000], [0.000, 0.000, 0.500], [0.500, 0.500, 0.500]]
}

=====

[2]
{
  "formula": "KFeW",
  "functional": "PBE-GGA",
  "state": "optimized geometry",
  "sg": "No. 216",
  "formation_enthalpy_0k_mev_per_atom": 2150,
  "polymorph_energy_kcal_per_mol_atoms": 26.71,
  "final_energy_ev_per_cell": -16.06,
  "cell": [[4.470, 0.000, 0.000], [2.235, 3.871, 0.000], [2.235, 1.290, 3.650]],
  "species": ["K", "Fe", "W"],
  "frac_coords": [[0.000, 0.000, 0.000], [0.750, 0.750, 0.750], [0.500, 0.500, 0.500]]
}

=====

[3]
{
  "formula": "Ca2TcRu",
  "functional": "PBE-GGA",
  "state": "optimized geometry",
  "sg": "No. 10",
  "formation_enthalpy_0k_mev_per_atom": 660,
  "polymorph_energy_kcal_per_mol_atoms": 10.28,
  "final_energy_ev_per_cell": -21.00,
  "cell": [[-1.336, 2.978, -3.387], [-2.837, -1.159, 0.100], [-3.745, 2.688, 3.841]],
  "species": ["Tc", "Ca", "Ca", "Ru"],
  "frac_coords": [[0.500, 0.750, 0.750], [0.000, 0.028, 0.003], [0.000, 0.472, 0.497], [0.500, 0.250, 0.250]]
}

=====

[4]
{
  "formula": "SrBe2In",
  "functional": "PBE-GGA",
  "state": "optimized geometry",
  "sg": "No. 99",
  "formation_enthalpy_0k_mev_per_atom": 361,
  "final_energy_ev_per_cell": -10.43,
  "cell": [[-0.653, 1.725, 2.630], [2.149, -1.717, 1.660], [5.405, 4.933, -1.894]],
  "species": ["Be", "Be", "Sr", "In"],
  "frac_coords": [[0.000, 0.000, 0.087], [0.500, 0.500, 0.191], [0.500, 0.500, 0.786], [0.000, 0.000, 0.435]]
}

=====

[5]
{
  "formula": "Ac2Sc2Sb2C",
  "functional": "PBE-GGA",
  "state": "optimized geometry",
  "sg": "No. 139",
  "raw_formation_energy_ev_per_fu": -6.27,
  "final_energy_ev_per_cell": -44.62,
  "cell": [[-1.337, -3.147, 3.180], [4.471, -0.818, 1.071], [-1.867, 8.097, 3.800]],
  "species": ["Sc", "Sc", "Ac", "Ac", "Sb", "Sb", "C"],
  "frac_coords": [[0.000, 0.500, 0.000], [0.500, 0.000, 0.000], [0.164, 0.164, 0.327], [0.836, 0.836, 0.673], [0.623, 0.623, 0.247], [0.377, 0.377, 0.753], [0.000, 0.000, 0.000]]
}

=====

[6]
{
  "formula": "Pm2SmHo2Tm2",
  "functional": "PBE-GGA",
  "state": "optimized geometry",
  "sg": "No. 12",
  "formation_enthalpy_0k_mev_per_atom": 149,
  "final_energy_ev_per_cell": -31.28,
  "cell": [[3.490, 0.000, 0.000], [-1.745, 8.967, -1.006], [0.000, -3.295, 7.749]],
  "species": ["Pm", "Pm", "Sm", "Tm", "Tm", "Ho", "Ho"],
  "frac_coords": [[0.352, 0.703, 0.090], [0.648, 0.297, 0.910], [0.000, 0.000, 0.500], [0.789, 0.577, 0.377], [0.211, 0.423, 0.623], [0.571, 0.141, 0.235], [0.429, 0.859, 0.765]]
}

=====

[7]
{
  "formula": "NaHo2Er3Te6",
  "functional": "PBE-GGA",
  "state": "optimized geometry",
  "sg": "No. 12",
  "raw_formation_energy_ev_per_fu": -15.11,
  "final_energy_ev_per_cell": -58.12,
  "cell": [[4.329, 0.000, 0.000], [0.000, 8.748, 0.292], [-2.164, -2.544, 9.157]],
  "species": ["Te", "Te", "Te", "Te", "Te", "Te", "Er", "Er", "Er", "Ho", "Ho", "Na"],
  "frac_coords": [[0.335, 0.415, 0.671], [0.669, 0.084, 0.338], [0.665, 0.585, 0.329], [0.998, 0.746, 0.996], [0.002, 0.254, 0.004], [0.331, 0.916, 0.662], [0.836, 0.175, 0.672], [0.500, 0.500, 0.000], [0.164, 0.825, 0.328], [0.170, 0.344, 0.341], [0.830, 0.656, 0.659], [0.500, 0.000, 0.000]]
}

=====

[8]
{
  "formula": "V3SnH",
  "functional": "PBE-GGA",
  "state": "optimized geometry",
  "sg": "No. 99",
  "final_energy_ev_per_cell": -32.54,
  "cell": [[-2.816, 1.191, 1.478], [0.077, -2.571, 2.218], [3.915, 3.864, 4.343]],
  "species": ["V", "V", "V", "Sn", "H"],
  "frac_coords": [[0.500, 0.000, 0.437], [0.000, 0.500, 0.437], [0.000, 0.000, 0.704], [0.000, 0.000, 0.093], [0.500, 0.500, 0.593]]
}

=====

Which formula does entry 5 have?
Ac2Sc2Sb2C